Entry 1:
A geometry-optimized KMgAgO2 structure, computed with PBE-GGA.

## Properties
The formation energy (no corrections) is -303 meV per atom. The calculation puts the total energy at -3.394 eV per atom.

The structure in CIF format:
```
data_KMgAgO2
_cell_length_a 4.114
_cell_length_b 4.114
_cell_length_c 4.972
_cell_angle_alpha 90.00
_cell_angle_beta 90.00
_cell_angle_gamma 90.00
_symmetry_space_group_name_H-M 'P 4/m m m'
_symmetry_Int_Tables_number 123
_symmetry_space_group_name_Hall '-P 4 2'
loop_
_atom_site_label
_atom_site_type_symbol
_atom_site_fract_x
_atom_site_fract_y
_atom_site_fract_z
K1 K 0.000 0.000 0.000
Mg1 Mg 0.000 0.000 0.500
Ag1 Ag 0.500 0.500 0.000
O1 O 0.000 0.500 0.500
```

=====

Entry 2:
A geometry-optimized KMgAgO2 structure, computed with PBE-GGA.

## Properties
The formation energy (no corrections) is -1396 meV per atom. The calculation puts the total energy at -4.488 eV per atom.

The structure in CIF format:
```
data_KMgAgO2
_cell_length_a 5.618
_cell_length_b 12.111
_cell_length_c 5.458
_cell_angle_alpha 90.00
_cell_angle_beta 90.00
_cell_angle_gamma 90.00
_symmetry_space_group_name_H-M 'C m m e'
_symmetry_Int_Tables_number 67
_symmetry_space_group_name_Hall '-C 2a 2'
loop_
_atom_site_label
_atom_site_type_symbol
_atom_site_fract_x
_atom_site_fract_y
_atom_site_fract_z
K1 K 0.000 0.250 0.199
Mg1 Mg 0.250 0.000 0.000
Ag1 Ag 0.000 0.000 0.500
O1 O 0.000 0.092 0.832
```

=====

Entry 3:
A geometry-optimized K2RbMgAg structure, computed with PBE-GGA.

## Properties
The calculation puts the total energy at -1.422 eV per atom. The value obtained for the formation energy is 100 meV per atom.

The structure in CIF format:
```
data_K2RbMgAg
_cell_length_a 6.656
_cell_length_b 6.656
_cell_length_c 5.546
_cell_angle_alpha 90.00
_cell_angle_beta 90.00
_cell_angle_gamma 90.00
_symmetry_space_group_name_H-M 'P 4/m m m'
_symmetry_Int_Tables_number 123
_symmetry_space_group_name_Hall '-P 4 2'
loop_
_atom_site_label
_atom_site_type_symbol
_atom_site_fract_x
_atom_site_fract_y
_atom_site_fract_z
K1 K 0.000 0.500 0.000
Rb1 Rb 0.000 0.000 0.500
Mg1 Mg 0.500 0.500 0.500
Ag1 Ag 0.500 0.500 0.000
```

=====

Entry 4:
A geometry-optimized KMg2ReAg structure, computed with PBE-GGA.

## Properties
The calculation puts the total energy at -3.079 eV per atom. The value obtained for the formation energy is 838 meV per atom.

The structure in CIF format:
```
data_KMg2ReAg
_cell_length_a 5.254
_cell_length_b 5.254
_cell_length_c 5.134
_cell_angle_alpha 90.00
_cell_angle_beta 90.00
_cell_angle_gamma 90.00
_symmetry_space_group_name_H-M 'P 4/m m m'
_symmetry_Int_Tables_number 123
_symmetry_space_group_name_Hall '-P 4 2'
loop_
_atom_site_label
_atom_site_type_symbol
_atom_site_fract_x
_atom_site_fract_y
_atom_site_fract_z
K1 K 0.000 0.000 0.000
Mg1 Mg 0.000 0.500 0.500
Re1 Re 0.500 0.500 0.500
Ag1 Ag 0.500 0.500 0.000
```